First-principles (PBE-GGA) data for a relaxed structure of Ge3AsN, as listed in Alexandria.

## Properties
Energy above the most stable polymorph in this dataset (meV per atom): 1151.3

CIF file:
```
data_Ge3AsN
_chemical_formula_sum 'Ge3 As1 N1'
_space_group_name_H-M_alt 'P m -3 m'
_space_group_IT_number 221
_space_group_name_Hall '-P 4 2 3'
_cell_length_a 4.978
_cell_length_b 4.978
_cell_length_c 4.978
_cell_angle_alpha 90.00
_cell_angle_beta 90.00
_cell_angle_gamma 90.00
loop_
_atom_site_label
_atom_site_fract_x
_atom_site_fract_y
_atom_site_fract_z
Ge1 0.000 0.000 0.500
As1 0.000 0.000 0.000
N1 0.500 0.500 0.500
```

***

First-principles (PBE-GGA) data for a relaxed structure of CaTcSe, as listed in Alexandria.

## Properties
Energy above the most stable polymorph in this dataset (meV per atom): 495.6

CIF file:
```
data_CaTcSe
_chemical_formula_sum 'Ca1 Tc1 Se1'
_space_group_name_H-M_alt 'P -6 m 2'
_space_group_IT_number 187
_space_group_name_Hall 'P -6 2'
_cell_length_a 4.2736
_cell_length_b 4.2736
_cell_length_c 3.9679
_cell_angle_alpha 90.00
_cell_angle_beta 90.00
_cell_angle_gamma 120.00
loop_
_atom_site_label
_atom_site_fract_x
_atom_site_fract_y
_atom_site_fract_z
Ca1 0.0000 0.0000 0.0000
Tc1 0.3333 0.6667 0.5000
Se1 0.6667 0.3333 0.5000
```

***

First-principles (PBE-GGA) data for a relaxed structure of YPRuS2, as listed in Alexandria.

## Properties
Energy above the most stable polymorph in this dataset (meV per atom): 0.0

CIF file:
```
data_YPRuS2
_chemical_formula_sum 'Y1 P1 Ru1 S2'
_space_group_name_H-M_alt 'P 4/m m m'
_space_group_IT_number 123
_space_group_name_Hall '-P 4 2'
_cell_length_a 4.861
_cell_length_b 4.861
_cell_length_c 4.302
_cell_angle_alpha 90.00
_cell_angle_beta 90.00
_cell_angle_gamma 90.00
loop_
_atom_site_label
_atom_site_fract_x
_atom_site_fract_y
_atom_site_fract_z
Y1 0.000 0.000 0.000
P1 0.500 0.500 0.000
Ru1 0.500 0.500 0.500
S1 0.000 0.500 0.500
```

***

The highest energy above the most stable polymorph in this dataset belongs to which entry? Ge3AsN